SrZr2Tc | PBE | relaxed

Cell: 10.290 10.290 10.290 Å, 19.11 19.11 19.11°
Element x y z (fractional)
Sr 0.000 0.000 0.000
Zr 0.228 0.228 0.228
Zr 0.772 0.772 0.772
Tc 0.500 0.500 0.500

Computed properties:
Its electronic total energy is -6.9929 eV/atom. For the formation energy, the calculation gives 0.293 eV/atom. As for the polymorph energy (0 for the lowest one): 0.232 eV per atom.